DFT (PBE) results for Ag5SF4 after structural relaxation.

Lattice parameters (Å, degrees): 4.9965 6.2037 6.2037 80.67 66.25 66.25
With the nearest neighbours (Å) after each atom.
Element x y z (fractional)
1 Ag 0.8956 0.3950 0.8153  3 F 2.30-2.53, 1 S 2.48
2 Ag 0.2906 0.8153 0.6050  3 F 2.30-2.53, 1 S 2.48
3 Ag 0.7110 0.1847 0.3950  3 F 2.30-2.53, 1 S 2.48
4 Ag 0.1059 0.6050 0.1847  3 F 2.30-2.53, 1 S 2.48
5 Ag 0.5028 0.0000 0.0000  2 S 2.50, 4 F 2.59
6 S 0.0027 0.0000 0.0000  6 Ag 2.48-2.50
7 F 0.4356 0.3807 0.7490  3 Ag 2.30-2.53
8 F 0.8163 0.7490 0.6193  3 Ag 2.30-2.53
9 F 0.1846 0.2510 0.3807  3 Ag 2.30-2.53
10 F 0.5653 0.6193 0.2510  3 Ag 2.30-2.53

Calculated values
**N(E_F)**: 0.606 states/eV per atom
**Formation energy from raw total energies**: -0.81 eV/atom
**Crystal system**: tetragonal

=====

DFT (PBE) results for Ag12S2F5 after structural relaxation.

Lattice parameters (Å, degrees): 6.0362 9.1742 9.1742 41.07 96.67 96.67
With the nearest neighbours (Å) after each atom.
Element x y z (fractional)
1 Ag 0.1687 0.9039 0.9039  2 F 2.43-2.51, 2 S 2.62
2 Ag 0.2815 0.5030 0.0628  2 F 2.30-2.46
3 Ag 0.2815 0.0628 0.5030  2 F 2.30-2.46
4 Ag 0.6238 0.6258 0.1881  2 F 2.44-2.59, 1 S 2.62
5 Ag 0.6238 0.1881 0.6258  2 F 2.44-2.59, 1 S 2.62
6 Ag 0.2231 0.4223 0.4223  2 S 2.56, 4 Ag 2.84
7 Ag 0.7769 0.5777 0.5777  2 S 2.56, 4 Ag 2.84
8 Ag 0.3762 0.3742 0.8119  2 F 2.44-2.59, 1 S 2.62
9 Ag 0.3762 0.8119 0.3742  2 F 2.44-2.59, 1 S 2.62
10 Ag 0.7185 0.4970 0.9372  2 F 2.30-2.46
11 Ag 0.7185 0.9372 0.4970  2 F 2.30-2.46
12 Ag 0.8313 0.0961 0.0961  2 F 2.43-2.51, 2 S 2.62
13 S 0.0000 0.2550 0.7450  6 Ag 2.56-2.62
14 S 0.0000 0.7450 0.2550  6 Ag 2.56-2.62
15 F 0.2225 0.1653 0.1653  5 Ag 2.44-2.51
16 F 0.8713 0.2874 0.2874  2 Ag 2.30
17 F 0.5000 0.0000 0.0000  6 Ag 2.43-2.59
18 F 0.1287 0.7126 0.7126  2 Ag 2.30
19 F 0.7775 0.8347 0.8347  5 Ag 2.44-2.51

Calculated values
**N(E_F)**: 0.177 states/eV per atom
**Formation energy from raw total energies**: -0.47 eV/atom
**Crystal system**: monoclinic

=====

DFT (PBE) results for Ag5S2F after structural relaxation.

Lattice parameters (Å, degrees): 4.0130 6.2390 6.2384 92.66 77.79 77.79
With the nearest neighbours (Å) after each atom.
Element x y z (fractional)
1 Ag 0.5772 0.3328 0.3327  1 F 2.39, 2 S 2.48
2 Ag 0.0006 0.3132 0.7320  3 S 2.55-2.84
3 Ag 0.0009 0.7322 0.3131  3 S 2.55-2.84
4 Ag 0.3647 0.6826 0.6826  2 S 2.62, 2 Ag 2.87-2.90
5 Ag 0.7410 0.9637 0.9636  2 F 2.39-2.41, 2 S 2.57-2.58
6 S 0.5918 0.5887 0.0392  5 Ag 2.48-2.62
7 S 0.5913 0.0392 0.5887  5 Ag 2.48-2.62
8 F 0.1326 0.1246 0.1250  3 Ag 2.39-2.41

Calculated values
**N(E_F)**: 0.140 states/eV per atom
**Formation energy from raw total energies**: -0.23 eV/atom
**Crystal system**: monoclinic

=====

DFT (PBE) results for Ag6SF7 after structural relaxation.

Lattice parameters (Å, degrees): 6.8120 6.8120 6.8084 59.98 59.98 60.00
With the nearest neighbours (Å) after each atom.
Element x y z (fractional)
1 Ag 0.7805 0.0656 0.7747  2 F 2.21-2.43, 1 S 2.44
2 Ag 0.6132 0.2582 0.2240  3 F 2.24-2.38, 1 S 2.49
3 Ag 0.9047 0.6132 0.2240  3 F 2.24-2.38, 1 S 2.49
4 Ag 0.0656 0.3792 0.7747  2 F 2.21-2.43, 1 S 2.44
5 Ag 0.3792 0.7805 0.7747  2 F 2.21-2.43, 1 S 2.44
6 Ag 0.2582 0.9047 0.2240  3 F 2.24-2.38, 1 S 2.49
7 S 0.9953 0.9953 0.0141  6 Ag 2.44-2.49
8 F 0.9564 0.2272 0.3284  3 Ag 2.24-2.49
9 F 0.4849 0.1264 0.6777  2 Ag 2.21-2.43
10 F 0.7110 0.4849 0.6777  2 Ag 2.21-2.43
11 F 0.6450 0.6450 0.0651  3 Ag 2.38
12 F 0.2272 0.4881 0.3284  3 Ag 2.24-2.49
13 F 0.4881 0.9564 0.3284  3 Ag 2.24-2.49
14 F 0.1264 0.7110 0.6777  2 Ag 2.21-2.43

Calculated values
**N(E_F)**: 0.865 states/eV per atom
**Formation energy from raw total energies**: -0.94 eV/atom
**Crystal system**: trigonal